(1)
Entry from Alexandria via LeMat-Bulk: LiTc2Cl after structural relaxation (PBE-GGA).

Geometry as POSCAR:
```
LiTc2Cl
1.0
-1.432 2.297 4.355
1.432 -2.297 4.355
1.432 2.297 -4.355
Li Tc Cl
1 2 1
direct
0.000 0.000 0.000
0.284 0.784 0.500
0.532 0.532 0.000
0.768 0.268 0.500
```

Computed properties:
**ΔE to the lowest computed polymorph**: 2.97 eV per formula unit
**Symmetry**: Imm2, No. 44
**E_form (uncorrected)**: 559 meV per atom
**V**: 57 Å³/f.u.

(2)
Entry from Alexandria via LeMat-Bulk: Cs2PaInSe4 after structural relaxation (PBE-GGA).

Geometry as POSCAR:
```
Cs2PaInSe4
1.0
0.000 7.999 13.453
3.302 0.000 13.453
3.302 7.999 0.000
Cs Pa In Se
4 2 2 8
direct
0.054 0.054 0.696
0.304 0.304 0.946
0.696 0.696 0.054
0.946 0.946 0.304
0.125 0.125 0.125
0.875 0.875 0.875
0.375 0.375 0.375
0.625 0.625 0.625
0.074 0.291 0.387
0.252 0.613 0.709
0.291 0.074 0.748
0.387 0.748 0.074
0.613 0.252 0.926
0.709 0.926 0.252
0.748 0.387 0.291
0.926 0.709 0.613
```

Computed properties:
**Symmetry**: Fddd, No. 70
**E_form (uncorrected)**: -988 meV per atom
**V**: 355 Å³/f.u.

(3)
Entry from Alexandria via LeMat-Bulk: HfGeMo after structural relaxation (PBE-GGA).

Geometry as POSCAR:
```
HfGeMo
1.0
7.026 0.000 0.000
0.000 3.539 0.000
0.000 0.000 8.357
Hf Ge Mo
4 4 4
direct
0.050 0.250 0.166
0.450 0.750 0.666
0.550 0.250 0.334
0.950 0.750 0.834
0.249 0.750 0.362
0.251 0.250 0.862
0.749 0.750 0.138
0.751 0.250 0.638
0.131 0.250 0.562
0.369 0.750 0.062
0.631 0.250 0.938
0.869 0.750 0.438
```

Computed properties:
**DFT total energy**: -9.024 eV/atom
**Symmetry**: Pnma, No. 62
**V**: 52 Å³/f.u.

(4)
Entry from Alexandria via LeMat-Bulk: Dy2ErPd after structural relaxation (PBE-GGA).

Geometry as POSCAR:
```
Dy2ErPd
1.0
1.843 1.064 9.574
-1.843 1.064 9.574
0.000 -2.128 9.574
Dy Er Pd
2 1 1
direct
0.000 0.000 0.000
0.200 0.200 0.200
0.434 0.434 0.434
0.600 0.600 0.600
```

Computed properties:
**ΔE to the lowest computed polymorph**: 0.74 eV per formula unit
**Symmetry**: R3m, No. 160
**V**: 113 Å³/f.u.